Here is a relaxed Li2Pm2SmMg5 crystal from Alexandria via LeMat-Bulk. Energies are from PBE.

Calculated values
Calculated formation energy = -0.42 eV per formula unit
Symmetry = P4/mbm (127)
Volume = 25.7 A^3/atom

Cell lengths 10.7634, 10.7634, 4.4323 Å; angles 90.00, 90.00, 90.00 degrees
Fractional coordinates of all 20 atoms:
Li1 0.1140 0.3860 0.0000
Li2 0.3860 0.8860 0.0000
Li3 0.6140 0.1140 0.0000
Li4 0.8860 0.6140 0.0000
Pm1 0.1804 0.6804 0.0000
Pm2 0.3196 0.1804 0.0000
Pm3 0.6804 0.8196 0.0000
Pm4 0.8196 0.3196 0.0000
Sm1 0.0000 0.0000 0.0000
Sm2 0.5000 0.5000 0.0000
Mg1 0.0000 0.5000 0.5000
Mg2 0.0617 0.2158 0.5000
Mg3 0.2158 0.9383 0.5000
Mg4 0.2842 0.4383 0.5000
Mg5 0.4383 0.7158 0.5000
Mg6 0.5000 0.0000 0.5000
Mg7 0.5617 0.2842 0.5000
Mg8 0.7158 0.5617 0.5000
Mg9 0.7842 0.0617 0.5000
Mg10 0.9383 0.7842 0.5000